The following is a DFT calculation (GGA-PBE) of an optimized crystal structure of Tb2InF.

- Uncorrected formation energy: -1061 meV per atom
- Energy above the most stable polymorph in this dataset: 251 meV/atom
- Volume: 88.76 Å³/cell
- Density of states at the Fermi level: 1.0606 states/eV/atom
- Uncorrected energy: -4.528 eV/atom

Cell lengths 3.297, 3.297, 8.164 Å; angles 90.00, 90.00, 90.00 degrees
Element x y z (fractional)
1 Tb 0.000 0.000 0.229
2 Tb 0.000 0.000 0.771
3 In 0.500 0.500 0.500
4 F 0.500 0.500 0.000